Record 1
Below is a relaxed structure of Er2TmPb3, with properties calculated at the PBE-GGA level.

ΔH_f (0 K): -0.46 eV/atom
Crystal system: monoclinic

Cell: 6.3509 6.3507 8.9731 Å, 110.72 100.15 90.00°
Last column: nearest neighbours and their distance in Å.
Element x y z (fractional)
Pb  0.5830  0.0418  0.3327  2 Tm 3.17-3.54, 4 Er 3.17-3.55, 3 Pb 3.55
Pb  0.7500  0.6240  0.0000  2 Tm 3.17-3.18, 4 Er 3.18-3.54, 4 Pb 3.54-3.55
Pb  0.4170  0.9582  0.6673  2 Tm 3.17-3.54, 4 Er 3.17-3.55, 3 Pb 3.55
Pb  0.2500  0.3760  0.0000  2 Tm 3.17-3.18, 4 Er 3.18-3.54, 4 Pb 3.54-3.55
Pb  0.9170  0.7091  0.6673  2 Tm 3.17-3.54, 4 Er 3.17-3.55, 3 Pb 3.55
Pb  0.0830  0.2909  0.3327  2 Tm 3.17-3.54, 4 Er 3.17-3.55, 3 Pb 3.55
Er  0.9160  0.2082  0.6667  7 Pb 3.17-3.55, 1 Tm 3.55, 3 Er 3.55
Er  0.0840  0.7918  0.3333  7 Pb 3.17-3.55, 1 Tm 3.55, 3 Er 3.55
Er  0.5840  0.5415  0.3333  7 Pb 3.17-3.55, 1 Tm 3.55, 3 Er 3.55
Er  0.4160  0.4585  0.6667  7 Pb 3.17-3.55, 1 Tm 3.55, 3 Er 3.55
Tm  0.2500  0.8757  0.0000  6 Pb 3.17-3.54, 2 Tm 3.55, 2 Er 3.55
Tm  0.7500  0.1243  0.0000  6 Pb 3.17-3.54, 2 Tm 3.55, 2 Er 3.55


Record 2
Below is a relaxed structure of Na2PrH8Ir, with properties calculated at the PBE-GGA level.

Crystal system: trigonal
Total energy: -3.96 eV per atom

Cell: 4.8255 4.8255 6.3150 Å, 90.00 90.00 120.00°
Last column: nearest neighbours and their distance in Å.
Element x y z (fractional)
Pr  0.0000  0.0000  0.5000  12 H 2.52-2.79
Na  0.6667  0.3333  0.1360  10 H 2.22-2.42
Na  0.3333  0.6667  0.8640  10 H 2.22-2.42
H  0.1597  0.8403  0.1622  1 Ir 1.68
H  0.6667  0.3333  0.4878  1 Na 2.22
H  0.6806  0.8403  0.1622  1 Ir 1.68
H  0.3194  0.1597  0.8378  1 Ir 1.68
H  0.8403  0.6806  0.8378  1 Ir 1.68
H  0.3333  0.6667  0.5122  1 Na 2.22
H  0.8403  0.1597  0.8378  1 Ir 1.68
H  0.1597  0.3194  0.1622  1 Ir 1.68
Ir  0.0000  0.0000  0.0000  6 H 1.68


Record 3
Below is a relaxed structure of BeCdAs2, with properties calculated at the PBE-GGA level.

ΔH_f (0 K): 0.48 eV/atom
Crystal system: orthorhombic

Cell: 4.5710 4.5710 3.6787 Å, 90.00 90.00 106.18°
Last column: nearest neighbours and their distance in Å.
Element x y z (fractional)
As  0.0000  0.0000  0.0000  2 As 2.75, 4 Be 2.93, 4 Cd 2.93
As  0.5000  0.5000  0.0000  2 As 2.75, 4 Cd 2.93, 4 Be 2.93
Be  0.5000  0.0000  0.5000  2 Cd 2.75, 8 As 2.93
Cd  0.0000  0.5000  0.5000  2 Be 2.75, 8 As 2.93


Record 4
Below is a relaxed structure of AcGa3Cu, with properties calculated at the PBE-GGA level.

ΔH_f (0 K): -0.36 eV/atom
Crystal system: hexagonal

Cell: 5.8136 6.4509 6.4505 Å, 120.00 90.00 90.00°
Last column: nearest neighbours and their distance in Å.
Element x y z (fractional)
Ga  0.2500  0.8100  0.1900  2 Cu 2.57, 2 Ga 2.77
Ga  0.7500  0.1900  0.3801  2 Cu 2.57, 2 Ga 2.77
Ga  0.7500  0.6199  0.8100  2 Cu 2.57, 2 Ga 2.77
Ga  0.2500  0.3801  0.1900  2 Cu 2.57, 2 Ga 2.77
Ga  0.7500  0.1900  0.8100  2 Cu 2.57, 2 Ga 2.77
Ga  0.2500  0.8100  0.6199  2 Cu 2.57, 2 Ga 2.77
Ac  0.7500  0.6667  0.3334  12 Ga 3.24-3.32
Ac  0.2500  0.3333  0.6667  12 Ga 3.24-3.32
Cu  0.0000  0.0000  0.0000  6 Ga 2.57
Cu  0.5000  0.0000  0.0000  6 Ga 2.57


Record 5
Below is a relaxed structure of CdAsW2, with properties calculated at the PBE-GGA level.

ΔH_f (0 K): 0.34 eV/atom
Crystal system: trigonal

Cell: 9.2720 9.2720 9.2720 Å, 19.21 19.21 19.21°
Last column: nearest neighbours and their distance in Å.
Element x y z (fractional)
W  0.9887  0.9887  0.9887  3 W 2.60
W  0.2526  0.2526  0.2526  3 W 2.60, 3 As 2.67
As  0.5133  0.5133  0.5133  3 W 2.67
Cd  0.7455  0.7455  0.7455  3 W 3.04, 6 Cd 3.09, 3 As 3.29


Record 6
Below is a relaxed structure of Cd8CuAu2, with properties calculated at the PBE-GGA level.

ΔH_f (0 K): -0.07 eV/atom
Crystal system: orthorhombic

Cell: 4.7382 6.9771 8.0267 Å, 115.76 107.17 90.00°
Last column: nearest neighbours and their distance in Å.
Element x y z (fractional)
Cd  0.6401  0.4134  0.2802  1 Cu 2.70, 2 Au 2.92
Cd  0.8296  0.8296  0.6592  8 Cd 3.01-3.07, 2 Au 3.06, 2 Cu 3.32
Cd  0.3599  0.1331  0.7198  1 Cu 2.70, 2 Au 2.92
Cd  0.0000  0.7257  0.0000  2 Au 3.01, 7 Cd 3.01-3.15, 2 Cu 3.05
Cd  0.0000  0.2743  0.0000  2 Au 3.01, 7 Cd 3.01-3.15, 2 Cu 3.05
Cd  0.6401  0.8669  0.2802  1 Cu 2.70, 2 Au 2.92
Cd  0.3599  0.5866  0.7198  1 Cu 2.70, 2 Au 2.92
Cd  0.1704  0.1704  0.3408  8 Cd 3.01-3.07, 2 Au 3.06, 2 Cu 3.32
Cu  0.5000  0.0000  0.0000  4 Cd 2.70
Au  0.8126  0.3126  0.6251  10 Cd 2.92-3.06
Au  0.1874  0.6874  0.3749  10 Cd 2.92-3.06


Record 7
Below is a relaxed structure of SrMoPt, with properties calculated at the PBE-GGA level.

ΔH_f (0 K): 0.03 eV/atom
Crystal system: orthorhombic

Cell: 5.5112 3.7352 7.4621 Å, 104.48 68.34 89.99°
Last column: nearest neighbours and their distance in Å.
Element x y z (fractional)
Pt  0.6718  0.3412  0.2789  1 Pt 2.69, 4 Mo 2.81
Pt  0.4699  0.5429  0.6823  1 Pt 2.69, 4 Mo 2.81
Mo  0.8620  0.9421  0.4806  1 Mo 2.30
Mo  0.2797  0.9420  0.4805  1 Mo 2.30
Sr  0.2723  0.2406  0.0777  4 Pt 3.07-3.23
Sr  0.8694  0.6435  0.8835  4 Pt 3.07-3.23


Record 8
Below is a relaxed structure of BPF2, with properties calculated at the PBE-GGA level.

Crystal system: trigonal
ΔE_f (raw): -634 meV per atom

Cell: 10.2023 10.2023 10.2023 Å, 14.63 14.63 14.63°
Last column: nearest neighbours and their distance in Å.
Element x y z (fractional)
P  0.5000  0.5000  0.5000  6 P 2.60
F  0.9556  0.9556  0.9556  1 B 1.34
F  0.0444  0.0444  0.0444  1 B 1.34
B  0.0000  0.0000  0.0000  2 F 1.34


Record 9
Below is a relaxed structure of TmZrTa, with properties calculated at the PBE-GGA level.

ΔH_f (0 K): 0.64 eV/atom
Crystal system: orthorhombic

Cell: 5.7079 4.7308 7.4993 Å, 76.73 67.63 52.89°
Last column: nearest neighbours and their distance in Å.
Element x y z (fractional)
Tm  0.7500  0.5000  0.5000  2 Tm 2.85, 4 Zr 3.19
Tm  0.2500  0.5000  0.5000  2 Tm 2.85, 4 Zr 3.19
Zr  0.5954  0.0000  0.8093  1 Zr 2.65, 2 Ta 2.84
Zr  0.4046  0.0000  0.1907  1 Zr 2.65, 2 Ta 2.84
Ta  0.8327  0.3345  0.0000  1 Ta 2.52
Ta  0.1673  0.6655  0.0000  1 Ta 2.52


Record 10
Below is a relaxed structure of CaMoH2, with properties calculated at the PBE-GGA level.

Crystal system: cubic
Total energy: -4.00 eV per atom

Cell: 4.0628 4.0628 4.0628 Å, 60.00 60.00 60.00°
Last column: nearest neighbours and their distance in Å.
Element x y z (fractional)
Mo  0.5000  0.5000  0.5000  8 H 2.49
H  0.2500  0.2500  0.2500  4 Mo 2.49, 4 Ca 2.49
H  0.7500  0.7500  0.7500  4 Mo 2.49, 4 Ca 2.49
Ca  0.0000  0.0000  0.0000  8 H 2.49


Record 11
Below is a relaxed structure of VAgICl6, with properties calculated at the PBE-GGA level.

Crystal system: triclinic
ΔE_f (raw): -718 meV per atom

Cell: 8.1052 7.6545 6.5654 Å, 109.24 88.99 57.03°
Last column: nearest neighbours and their distance in Å.
Element x y z (fractional)
V  0.4149  0.3073  0.5508  5 Cl 2.12-2.35
Cl  0.1360  0.6040  0.8549  1 V 2.35, 1 I 2.62
Cl  0.6659  0.2479  0.6901  1 V 2.12
Cl  0.3445  0.5646  0.4065  1 V 2.26
Cl  0.9490  0.4141  0.2521  1 Ag 2.48, 1 I 2.53
Cl  0.3075  0.1116  0.6356  1 V 2.29, 1 Ag 2.54
Cl  0.5561  0.0329  0.2040  1 V 2.25
Ag  0.5760  0.7042  0.3661  3 Cl 2.48-2.66
I  0.0499  0.0135  0.0399  2 Cl 2.53-2.62


Record 12
Below is a relaxed structure of K2ScNi, with properties calculated at the PBE-GGA level.

ΔH_f (0 K): 0.74 eV/atom
Crystal system: orthorhombic

Cell: 4.2732 4.2601 6.1274 Å, 90.00 90.00 90.00°
Last column: nearest neighbours and their distance in Å.
Element x y z (fractional)
Sc  0.0000  0.5000  0.5000  4 Ni 3.02
K  0.0000  0.0000  0.0000  4 K 3.02
K  0.5000  0.5000  0.0000  4 K 3.02
Ni  0.5000  0.0000  0.5000  4 Sc 3.02